# 1
# YPd, relaxed, DFT PBE-GGA
data_YPd
_chemical_formula_sum 'Y2 Pd2'
_cell_length_a 5.604
_cell_length_b 5.604
_cell_length_c 4.558
_cell_angle_alpha 90.00
_cell_angle_beta 90.00
_cell_angle_gamma 141.24
_space_group_name_H-M_alt 'P 1'
_space_group_IT_number 1
_space_group_name_Hall 'P 1'
loop_
_atom_site_label
_atom_site_type_symbol
_atom_site_fract_x
_atom_site_fract_y
_atom_site_fract_z
_atom_site_occupancy
Y1 Y 0.137 0.863 0.750 1
Y2 Y 0.863 0.137 0.250 1
Pd1 Pd 0.413 0.587 0.750 1
Pd2 Pd 0.587 0.413 0.250 1
# Total magnetization in μB/f.u.: 0.00
# E in eV per atom: -6.734
# Symmetry: Cmcm
# Energy relative to the elements in eV per atom: -0.9136



# 2
# Y3Pd2, relaxed, DFT PBE-GGA
data_Y3Pd2
_chemical_formula_sum 'Y6 Pd4'
_cell_length_a 8.411
_cell_length_b 8.411
_cell_length_c 3.302
_cell_angle_alpha 90.00
_cell_angle_beta 90.00
_cell_angle_gamma 90.00
_space_group_name_H-M_alt 'P 1'
_space_group_IT_number 1
_space_group_name_Hall 'P 1'
loop_
_atom_site_label
_atom_site_type_symbol
_atom_site_fract_x
_atom_site_fract_y
_atom_site_fract_z
_atom_site_occupancy
Y1 Y 0.000 0.000 0.000 1
Y2 Y 0.138 0.362 0.000 1
Y3 Y 0.362 0.862 0.000 1
Y4 Y 0.500 0.500 0.000 1
Y5 Y 0.638 0.138 0.000 1
Y6 Y 0.862 0.638 0.000 1
Pd1 Pd 0.161 0.661 0.500 1
Pd2 Pd 0.339 0.161 0.500 1
Pd3 Pd 0.661 0.839 0.500 1
Pd4 Pd 0.839 0.339 0.500 1
# Total magnetization in μB/f.u.: 0.01
# E in eV per atom: -6.464
# Symmetry: P4/mbm
# Energy relative to the elements in eV per atom: -0.5146



# 3
# YPd3, relaxed, DFT PBE-GGA
data_YPd3
_chemical_formula_sum 'Y2 Pd6'
_cell_length_a 4.647
_cell_length_b 5.885
_cell_length_c 5.207
_cell_angle_alpha 90.00
_cell_angle_beta 90.00
_cell_angle_gamma 90.00
_space_group_name_H-M_alt 'P 1'
_space_group_IT_number 1
_space_group_name_Hall 'P 1'
loop_
_atom_site_label
_atom_site_type_symbol
_atom_site_fract_x
_atom_site_fract_y
_atom_site_fract_z
_atom_site_occupancy
Y1 Y 0.250 0.250 0.157 1
Y2 Y 0.750 0.750 0.843 1
Pd1 Pd 0.250 0.005 0.660 1
Pd2 Pd 0.250 0.495 0.660 1
Pd3 Pd 0.250 0.750 0.199 1
Pd4 Pd 0.750 0.250 0.801 1
Pd5 Pd 0.750 0.505 0.340 1
Pd6 Pd 0.750 0.995 0.340 1
# Total magnetization in μB/f.u.: 0.01
# E in eV per atom: -6.298
# Symmetry: Pmmn
# Energy relative to the elements in eV per atom: -0.8000



# 4
# YPd, relaxed, DFT PBE-GGA
data_YPd
_chemical_formula_sum 'Y1 Pd1'
_cell_length_a 4.468
_cell_length_b 4.468
_cell_length_c 4.468
_cell_angle_alpha 60.00
_cell_angle_beta 60.00
_cell_angle_gamma 60.00
_space_group_name_H-M_alt 'P 1'
_space_group_IT_number 1
_space_group_name_Hall 'P 1'
loop_
_atom_site_label
_atom_site_type_symbol
_atom_site_fract_x
_atom_site_fract_y
_atom_site_fract_z
_atom_site_occupancy
Y1 Y 0.000 0.000 0.000 1
Pd1 Pd 0.250 0.250 0.250 1
# Total magnetization in μB/f.u.: 0.14
# E in eV per atom: -5.929
# Symmetry: F-43m
# Energy relative to the elements in eV per atom: -0.1090



# 5
# Y2Pd, relaxed, DFT PBE-GGA
data_Y2Pd
_chemical_formula_sum 'Y4 Pd2'
_cell_length_a 6.009
_cell_length_b 6.009
_cell_length_c 6.009
_cell_angle_alpha 60.00
_cell_angle_beta 60.00
_cell_angle_gamma 60.00
_space_group_name_H-M_alt 'P 1'
_space_group_IT_number 1
_space_group_name_Hall 'P 1'
loop_
_atom_site_label
_atom_site_type_symbol
_atom_site_fract_x
_atom_site_fract_y
_atom_site_fract_z
_atom_site_occupancy
Y1 Y 0.000 0.000 0.000 1
Y2 Y 0.000 0.000 0.500 1
Y3 Y 0.000 0.500 0.000 1
Y4 Y 0.500 0.000 0.000 1
Pd1 Pd 0.375 0.375 0.375 1
Pd2 Pd 0.625 0.625 0.625 1
# Total magnetization in μB/f.u.: 0.03
# E in eV per atom: -5.607
# Symmetry: Fd-3m
# Energy relative to the elements in eV per atom: 0.4283



# 6
# Y3Pd, relaxed, DFT PBE-GGA
data_Y3Pd
_chemical_formula_sum 'Y12 Pd4'
_cell_length_a 7.040
_cell_length_b 9.711
_cell_length_c 6.488
_cell_angle_alpha 90.00
_cell_angle_beta 90.00
_cell_angle_gamma 90.00
_space_group_name_H-M_alt 'P 1'
_space_group_IT_number 1
_space_group_name_Hall 'P 1'
loop_
_atom_site_label
_atom_site_type_symbol
_atom_site_fract_x
_atom_site_fract_y
_atom_site_fract_z
_atom_site_occupancy
Y1 Y 0.024 0.250 0.131 1
Y2 Y 0.182 0.059 0.678 1
Y3 Y 0.182 0.441 0.678 1
Y4 Y 0.318 0.559 0.178 1
Y5 Y 0.318 0.941 0.178 1
Y6 Y 0.476 0.750 0.631 1
Y7 Y 0.524 0.250 0.369 1
Y8 Y 0.682 0.059 0.822 1
Y9 Y 0.682 0.441 0.822 1
Y10 Y 0.818 0.559 0.322 1
Y11 Y 0.818 0.941 0.322 1
Y12 Y 0.976 0.750 0.869 1
Pd1 Pd 0.108 0.750 0.446 1
Pd2 Pd 0.392 0.250 0.946 1
Pd3 Pd 0.608 0.750 0.054 1
Pd4 Pd 0.892 0.250 0.554 1
# Total magnetization in μB/f.u.: 0.01
# E in eV per atom: -6.619
# Symmetry: Pnma
# Energy relative to the elements in eV per atom: -0.4761